Compound: Zn3CuPt6
Source: Alexandria
Functional: PBE
Structure: optimized geometry

The structure in extended XYZ format:
```
20
Lattice="4.492 0.000 0.000 0.000 6.868 -2.599 0.000 -0.165 9.679" Properties=species:S:1:pos:R:3 pbc="T T T"
Pt 3.369 5.007 3.076
Pt 3.369 0.888 6.525
Pt 1.123 1.697 4.005
Pt 3.369 6.366 -1.103
Pt 1.123 0.338 8.184
Pt 1.123 4.463 4.805
Pt 1.123 5.815 0.556
Pt 3.369 3.534 7.546
Pt 1.123 3.169 -0.465
Pt 1.123 1.029 1.277
Pt 3.369 2.240 2.276
Pt 3.369 5.674 5.803
Zn 3.369 2.972 4.856
Zn 3.369 4.306 0.519
Zn 3.369 1.558 -0.374
Zn 1.123 2.397 6.562
Zn 1.123 3.732 2.225
Zn 1.123 5.146 7.455
Cu 1.123 6.521 3.051
Cu 3.369 0.183 4.029
```

SG: P2_1/m (11)
DFT total energy in eV/atom: -4.764
Mass density in g cm⁻³: 16.0
ΔE_f in eV per atom: -0.35

Compound: Zn5Cu8Pt
Source: Alexandria
Functional: PBE
Structure: optimized geometry

The structure in extended XYZ format:
```
14
Lattice="-0.644 -4.077 4.760 5.260 -1.290 -3.219 0.314 5.836 2.354" Properties=species:S:1:pos:R:3 pbc="T T T"
Pt 2.705 2.713 1.346
Cu 3.944 1.551 -0.830
Cu 4.834 1.432 1.809
Cu -0.073 -0.062 5.732
Cu 2.885 -1.433 1.118
Cu 3.745 -1.048 -1.506
Cu 1.990 2.195 3.961
Cu 1.354 0.615 1.753
Cu 1.042 -1.375 3.540
Zn 3.216 -0.003 3.254
Zn 0.588 4.301 3.423
Zn -0.165 0.879 3.557
Zn 1.773 0.157 -0.633
Zn 4.283 -3.518 1.745
```

SG: I-4 (82)
DFT total energy in eV/atom: -3.201
Mass density in g cm⁻³: 8.9
ΔE_f in eV per atom: 0.03

Compound: ZnCu4Pt
Source: Alexandria
Functional: PBE
Structure: optimized geometry

The structure in extended XYZ format:
```
6
Lattice="0.000 3.403 3.403 3.403 0.000 3.403 3.403 3.403 0.000" Properties=species:S:1:pos:R:3 pbc="T T T"
Cu 4.254 2.552 4.254
Cu 4.254 4.254 2.552
Cu 2.552 2.552 2.552
Cu 2.552 4.254 4.254
Pt 5.104 5.104 5.104
Zn 0.000 0.000 0.000
```

SG: F-43m (216)
DFT total energy in eV/atom: -4.000
Mass density in g cm⁻³: 10.8
Relative energy among the computed polymorphs in meV per atom: 116
ΔE_f in eV per atom: -0.05

Compound: ZnCu4Pt
Source: Alexandria
Functional: PBE
Structure: optimized geometry

The structure in extended XYZ format:
```
12
Lattice="-3.383 -3.235 4.694 -1.463 -3.929 -0.014 6.258 -2.341 2.898" Properties=species:S:1:pos:R:3 pbc="T T T"
Cu 1.733 -8.497 6.169
Cu 2.075 -4.143 2.851
Cu 1.763 -1.787 2.374
Cu 4.160 -4.922 3.816
Cu -2.749 -4.583 3.762
Cu -0.664 -5.362 4.727
Cu -0.322 -1.007 1.409
Cu -0.351 -7.718 5.204
Pt 0.467 -3.532 0.714
Pt 4.328 -2.738 2.170
Zn 1.904 -6.320 4.510
Zn -0.493 -3.185 3.068
```

SG: Cmmm (65)
DFT total energy in eV/atom: -4.072
Mass density in g cm⁻³: 10.9
Relative energy among the computed polymorphs in meV per atom: 44
ΔE_f in eV per atom: -0.12

Compound: ZnCu5Pt6
Source: Alexandria
Functional: PBE
Structure: optimized geometry

The structure in extended XYZ format:
```
12
Lattice="3.806 0.014 -1.110 -0.983 6.321 -3.293 0.030 -0.348 7.183" Properties=species:S:1:pos:R:3 pbc="T T T"
Pt 2.618 3.463 1.941
Pt -0.256 5.681 -0.805
Pt 0.236 2.524 0.840
Pt 3.109 0.306 3.585
Pt 1.166 4.745 -3.023
Pt 1.657 1.590 -1.380
Cu 1.893 4.109 -0.538
Cu 0.464 5.030 1.657
Cu -0.492 3.160 -1.646
Cu 2.389 0.957 1.124
Cu 0.960 1.878 3.318
Zn 0.000 0.000 0.000
```

SG: Immm (71)
DFT total energy in eV/atom: -5.050
Mass density in g cm⁻³: 15.3
ΔE_f in eV per atom: -0.22

Compound: Zn8CuPt2
Source: Alexandria
Functional: PBE
Structure: optimized geometry

The structure in extended XYZ format:
```
11
Lattice="3.950 0.000 -1.202 -1.082 6.258 -3.554 -0.056 -0.319 6.906" Properties=species:S:1:pos:R:3 pbc="T T T"
Zn -0.341 1.973 -1.121
Zn 3.153 3.965 3.270
Zn 1.618 5.293 -1.775
Zn 0.378 0.770 1.240
Zn 2.434 5.169 0.909
Zn 2.075 2.646 -0.271
Zn 1.194 0.645 3.924
Zn 0.737 3.292 2.421
Cu 1.975 0.000 -0.601
Pt 2.779 1.639 2.040
Pt 0.033 4.299 0.109
```

SG: Immm (71)
DFT total energy in eV/atom: -2.674
Mass density in g cm⁻³: 9.8
Relative energy among the computed polymorphs in meV per atom: 0
ΔE_f in eV per atom: -0.28

Compound: ZnCu2Pt
Source: Alexandria
Functional: PBE
Structure: optimized geometry

The structure in extended XYZ format:
```
4
Lattice="8.696 0.003 0.002 8.271 2.683 0.002 8.271 1.309 2.342" Properties=species:S:1:pos:R:3 pbc="T T T"
Pt 6.310 0.999 0.586
Cu 12.570 1.990 1.168
Cu 0.049 0.008 0.005
Zn 18.929 2.997 1.759
```

SG: R-3m (166)
DFT total energy in eV/atom: -4.030
Mass density in g cm⁻³: 11.8
ΔE_f in eV per atom: -0.15

Compound: Zn2Cu3Pt4
Source: Alexandria
Functional: PBE
Structure: optimized geometry

The structure in extended XYZ format:
```
9
Lattice="-0.797 -3.816 -0.392 1.097 -2.609 3.615 -6.336 0.808 4.985" Properties=species:S:1:pos:R:3 pbc="T T T"
Cu 0.000 0.000 0.000
Cu -2.760 -1.770 3.268
Cu -3.275 -3.848 4.939
Pt -0.624 -2.048 1.622
Pt -5.412 -3.570 6.586
Pt -1.066 -2.323 5.204
Pt -4.970 -3.294 3.004
Zn -4.805 -1.521 4.989
Zn -1.230 -4.096 3.219
```

SG: C2/m (12)
DFT total energy in eV/atom: -4.643
Mass density in g cm⁻³: 14.4
ΔE_f in eV per atom: -0.31

Compound: ZnCu5Pt8
Source: Alexandria
Functional: PBE
Structure: optimized geometry

The structure in extended XYZ format:
```
14
Lattice="-3.108 -2.997 4.858 5.705 2.339 2.054 -3.818 4.830 -2.081" Properties=species:S:1:pos:R:3 pbc="T T T"
Pt -2.103 0.040 3.447
Pt -3.278 3.428 2.104
Pt -1.117 1.679 1.372
Pt 3.391 1.568 2.058
Pt 2.128 3.802 0.885
Pt 0.215 4.551 2.897
Pt -4.931 0.546 3.336
Pt 0.811 1.073 3.227
Cu -1.331 2.639 3.797
Cu 1.264 1.228 0.571
Cu -3.463 0.916 1.388
Cu 1.712 0.466 5.735
Cu -4.088 4.011 -0.441
Zn -0.788 4.043 0.681
```

SG: I-4 (82)
DFT total energy in eV/atom: -4.977
Mass density in g cm⁻³: 15.3
ΔE_f in eV per atom: 0.03

Compound: ZnCu14Pt
Source: Alexandria
Functional: PBE
Structure: optimized geometry

The structure in extended XYZ format:
```
16
Lattice="-4.555 1.053 -2.272 1.589 -4.923 0.503 -3.859 -0.478 7.516" Properties=species:S:1:pos:R:3 pbc="T T T"
Cu -1.649 -2.810 1.307
Cu 0.307 -3.676 -0.076
Cu -4.737 0.183 -0.064
Cu -1.973 -3.155 -1.214
Cu -2.773 -0.681 -1.467
Cu -3.945 -2.270 0.151
Cu -2.453 -0.324 1.041
Cu -4.432 -0.569 4.895
Cu -0.483 -1.211 -0.325
Cu -5.924 -2.515 4.005
Cu -6.687 -0.058 3.734
Cu -1.387 -2.454 3.896
Cu -3.619 -3.054 5.143
Cu -2.872 -4.392 3.010
Pt -3.665 -1.929 2.760
Zn -0.594 -4.916 4.146
```

SG: Amm2 (38)
DFT total energy in eV/atom: -4.096
Mass density in g cm⁻³: 9.7
ΔE_f in eV per atom: -0.05

Compound: ZnCu2Pt3
Source: Alexandria
Functional: PBE
Structure: optimized geometry

The structure in extended XYZ format:
```
6
Lattice="4.301 0.000 0.000 -2.150 3.725 0.000 0.000 0.000 5.262" Properties=species:S:1:pos:R:3 pbc="T T T"
Zn 0.000 0.000 0.000
Pt 0.000 2.483 0.877
Pt 2.150 1.242 4.385
Pt 0.000 0.000 2.631
Cu 2.150 1.242 1.777
Cu 0.000 2.483 3.484
```

SG: P-3m1 (164)
DFT total energy in eV/atom: -4.894
Mass density in g cm⁻³: 15.3
Relative energy among the computed polymorphs in meV per atom: 4
ΔE_f in eV per atom: -0.30

Compound: Zn2CuPt8
Source: Alexandria
Functional: PBE
Structure: optimized geometry

The structure in extended XYZ format:
```
11
Lattice="6.852 2.479 0.000 4.562 6.420 0.000 2.281 3.210 5.249" Properties=species:S:1:pos:R:3 pbc="T T T"
Pt 6.999 5.200 0.000
Pt 4.415 3.700 0.000
Pt 10.210 8.211 1.451
Pt 7.928 5.001 3.799
Pt 7.988 7.660 2.910
Pt 5.767 7.109 1.451
Pt 3.486 3.899 3.799
Pt 5.707 4.450 2.340
Zn 4.562 6.420 3.771
Zn 2.281 3.210 1.478
Cu 3.426 1.240 0.000
```

SG: C2/m (12)
DFT total energy in eV/atom: -5.146
Mass density in g cm⁻³: 17.0
Relative energy among the computed polymorphs in meV per atom: 25
ΔE_f in eV per atom: -0.15